[1]
Below is Ba3PH after structural relaxation, with properties calculated at the PBE level.

Calculated values
* SG: C2/c (15)
* polymorph energy (0 for the lowest one): 0.0 kJ per mole of atoms

Lattice parameters (Å, degrees): 7.8740 10.4076 10.4076 111.17 101.32 101.32
Last column: nearest neighbours and their distance in Å.
Positions (direct):
Ba: 0.3223 0.7736 0.9166  1 H 3.06, 3 P 3.18-3.38
Ba: 0.9422 0.3530 0.5794  2 H 2.70-2.85
Ba: 0.3379 0.0428 0.6420  1 H 2.73
Ba: 0.6777 0.2264 0.0834  1 H 3.06, 3 P 3.18-3.38
Ba: 0.1621 0.3580 0.9572  1 H 2.73
Ba: 0.4422 0.5794 0.3530  2 H 2.70-2.85
Ba: 0.8223 0.9166 0.7736  1 H 3.06, 3 P 3.18-3.38
Ba: 0.5578 0.4206 0.6470  2 H 2.70-2.85
Ba: 0.1777 0.0834 0.2264  1 H 3.06, 3 P 3.18-3.38
Ba: 0.6621 0.9572 0.3580  1 H 2.73
Ba: 0.8379 0.6420 0.0428  1 H 2.73
Ba: 0.0578 0.6470 0.4206  2 H 2.70-2.85
P: 0.2500 0.0682 0.9318  6 Ba 3.16-3.23
P: 0.7500 0.9318 0.0682  6 Ba 3.16-3.23
P: 0.2500 0.7741 0.2259  6 Ba 3.16-3.38
P: 0.7500 0.2259 0.7741  6 Ba 3.16-3.38
H: 0.9261 0.5899 0.7918  3 Ba 2.70-2.85
H: 0.0739 0.4101 0.2082  3 Ba 2.70-2.85
H: 0.4261 0.7918 0.5899  3 Ba 2.70-2.85
H: 0.5739 0.2082 0.4101  3 Ba 2.70-2.85

[2]
Below is Ba2P2H after structural relaxation, with properties calculated at the PBE level.

Calculated values
* SG: C2/c (15)

Lattice parameters (Å, degrees): 6.3596 7.4942 6.9453 104.89 117.25 90.00
Last column: nearest neighbours and their distance in Å.
Positions (direct):
H: 0.5396 0.7500 0.0000  4 Ba 2.60-2.66
H: 0.4604 0.2500 0.0000  4 Ba 2.60-2.66
Ba: 0.4350 0.5835 0.2361  2 H 2.60-2.66
Ba: 0.5650 0.4165 0.7639  2 H 2.60-2.66
Ba: 0.1989 0.9165 0.7639  2 H 2.60-2.66
Ba: 0.8011 0.0835 0.2361  2 H 2.60-2.66
P: 0.3399 0.0217 0.3674  1 P 2.13
P: 0.6601 0.9783 0.6326  1 P 2.13
P: 0.9725 0.4783 0.6326  1 P 2.13
P: 0.0275 0.5217 0.3674  1 P 2.13

[3]
Below is BaPH after structural relaxation, with properties calculated at the PBE level.

Calculated values
* SG: Cmcm (63)
* polymorph energy (0 for the lowest one): 27.2 kJ per mole of atoms

Lattice parameters (Å, degrees): 8.5630 3.6867 8.6060 90.00 90.00 90.00
Last column: nearest neighbours and their distance in Å.
Positions (direct):
P: 0.7500 0.2500 0.0504  2 H 1.84
P: 0.2500 0.2500 0.4496  2 H 1.84
P: 0.7500 0.7500 0.5504  2 H 1.84
P: 0.2500 0.7500 0.9496  2 H 1.84
H: 0.7501 0.2500 0.5530  2 P 1.84
H: 0.2499 0.7500 0.4470  2 P 1.84
H: 0.7499 0.7500 0.0530  2 P 1.84
H: 0.2501 0.2500 0.9470  2 P 1.84
Ba: 0.5000 0.7500 0.2500  2 H 2.73
Ba: 0.0000 0.7500 0.2500  2 H 2.73
Ba: 0.5000 0.2500 0.7500  2 H 2.73
Ba: 0.0000 0.2500 0.7500  2 H 2.73

[4]
Below is Ba2PH2 after structural relaxation, with properties calculated at the PBE level.

Calculated values
* SG: I4/mmm (139)
* polymorph energy (0 for the lowest one): 0.0 kJ per mole of atoms

Lattice parameters (Å, degrees): 4.0765 4.0765 7.8738 75.00 75.00 90.00
Last column: nearest neighbours and their distance in Å.
Positions (direct):
H: 0.2500 0.7500 0.5000  4 Ba 2.62, 4 H 2.88
H: 0.7500 0.2500 0.5000  4 Ba 2.62, 4 H 2.88
P: 0.0000 0.0000 0.0000  8 Ba 3.52
Ba: 0.6374 0.6374 0.7252  4 H 2.62
Ba: 0.3626 0.3626 0.2748  4 H 2.62

[5]
Below is BaPH after structural relaxation, with properties calculated at the PBE level.

Calculated values
* SG: P2_1/m (11)
* polymorph energy (0 for the lowest one): 10.1 kJ per mole of atoms

Lattice parameters (Å, degrees): 7.6822 4.4898 8.7024 75.03 151.98 107.01
Last column: nearest neighbours and their distance in Å.
Positions (direct):
H: 0.7384 0.7442 0.7500  4 Ba 2.62-2.68
H: 0.2616 0.2558 0.2500  4 Ba 2.62-2.68
P: 0.1758 0.4613 0.7492  2 P 2.31-2.32
P: 0.8242 0.5387 0.2508  2 P 2.31-2.32
Ba: 0.5389 0.1445 0.7499  4 H 2.62-2.68
Ba: 0.4611 0.8555 0.2501  4 H 2.62-2.68

[6]
Below is Ba2PH after structural relaxation, with properties calculated at the PBE level.

Calculated values
* SG: P4/mmm (123)
* polymorph energy (0 for the lowest one): 18.2 kJ per mole of atoms

Lattice parameters (Å, degrees): 3.8682 3.8682 7.6412 90.00 90.00 90.00
Last column: nearest neighbours and their distance in Å.
Positions (direct):
Ba: 0.0000 0.0000 0.7695  4 P 3.25, 4 H 3.42, 1 Ba 3.52
Ba: 0.0000 0.0000 0.2305  4 P 3.25, 4 H 3.42, 1 Ba 3.52
P: 0.5000 0.5000 0.0000  8 Ba 3.25
H: 0.5000 0.5000 0.5000  8 Ba 3.42, 2 P 3.82

[7]
Below is BaP2H after structural relaxation, with properties calculated at the PBE level.

Calculated values
* SG: Fm-3m (225)
* polymorph energy (0 for the lowest one): 76.7 kJ per mole of atoms

Lattice parameters (Å, degrees): 5.0372 5.0372 5.0372 60.00 60.00 60.00
Last column: nearest neighbours and their distance in Å.
Positions (direct):
P: 0.7500 0.7500 0.7500  4 Ba 3.08, 4 H 3.08
P: 0.2500 0.2500 0.2500  4 Ba 3.08, 4 H 3.08
Ba: 0.5000 0.5000 0.5000  8 P 3.08
H: 0.0000 0.0000 0.0000  8 P 3.08

[8]
Below is Ba12P3H5 after structural relaxation, with properties calculated at the PBE level.

Calculated values
* SG: Ia-3d (230)

Lattice parameters (Å, degrees): 15.2426 15.2426 15.2426 109.47 109.47 109.47
Last column: nearest neighbours and their distance in Å.
Positions (direct):
H: 0.6250 0.7500 0.8750  4 Ba 2.59
H: 0.3750 0.2500 0.1250  4 Ba 2.59
H: 0.1250 0.7500 0.3750  4 Ba 2.59
H: 0.0000 0.0000 0.5000  6 Ba 3.02
H: 0.5000 0.5000 0.5000  6 Ba 3.02
H: 0.5000 0.5000 0.0000  6 Ba 3.02
H: 0.6250 0.8750 0.2500  4 Ba 2.59
H: 0.5000 0.0000 0.5000  6 Ba 3.02
H: 0.0000 0.5000 0.5000  6 Ba 3.02
H: 0.2500 0.8750 0.1250  4 Ba 2.59
H: 0.7500 0.6250 0.3750  4 Ba 2.59
H: 0.2500 0.3750 0.6250  4 Ba 2.59
H: 0.1250 0.3750 0.2500  4 Ba 2.59
H: 0.7500 0.1250 0.8750  4 Ba 2.59
H: 0.0000 0.0000 0.0000  6 Ba 3.02
H: 0.3750 0.1250 0.7500  4 Ba 2.59
H: 0.0000 0.5000 0.0000  6 Ba 3.02
H: 0.5000 0.0000 0.0000  6 Ba 3.02
H: 0.8750 0.6250 0.7500  4 Ba 2.59
H: 0.8750 0.2500 0.6250  4 Ba 2.59
Ba: 0.9054 0.8123 0.7799  1 H 2.59
Ba: 0.9069 0.8123 0.5324  1 H 2.59
Ba: 0.5324 0.2201 0.1255  1 H 2.59
Ba: 0.8123 0.9054 0.2799  1 H 2.59
Ba: 0.5946 0.8745 0.4069  1 H 2.59
Ba: 0.8745 0.5946 0.9069  1 H 2.59
Ba: 0.7799 0.4676 0.3745  1 H 2.59
Ba: 0.5931 0.9676 0.6877  1 H 2.59
Ba: 0.1877 0.0946 0.7201  1 H 2.59
Ba: 0.7799 0.3123 0.9054  1 H 2.59
Ba: 0.9069 0.0946 0.8745  1 H 2.59
Ba: 0.0324 0.6255 0.7201  1 H 2.59
Ba: 0.4676 0.7799 0.8745  1 H 2.59
Ba: 0.0946 0.1877 0.2201  1 H 2.59
Ba: 0.4054 0.2799 0.3123  1 H 2.59
Ba: 0.0946 0.9069 0.3745  1 H 2.59
Ba: 0.6877 0.4676 0.5931  1 H 2.59
Ba: 0.1877 0.0931 0.9676  1 H 2.59
Ba: 0.1255 0.7201 0.5324  1 H 2.59
Ba: 0.8123 0.9069 0.0324  1 H 2.59
Ba: 0.4676 0.6877 0.0931  1 H 2.59
Ba: 0.9676 0.5931 0.1877  1 H 2.59
Ba: 0.2201 0.5324 0.6255  1 H 2.59
Ba: 0.0324 0.4069 0.8123  1 H 2.59
Ba: 0.4069 0.3745 0.5946  1 H 2.59
Ba: 0.3745 0.4069 0.0946  1 H 2.59
Ba: 0.6255 0.5931 0.9054  1 H 2.59
Ba: 0.3123 0.7799 0.4054  1 H 2.59
Ba: 0.0931 0.9054 0.1255  1 H 2.59
Ba: 0.7201 0.5946 0.1877  1 H 2.59
Ba: 0.2799 0.8745 0.9676  1 H 2.59
Ba: 0.9054 0.0931 0.6255  1 H 2.59
Ba: 0.2201 0.6877 0.0946  1 H 2.59
Ba: 0.5946 0.7201 0.6877  1 H 2.59
Ba: 0.7201 0.1255 0.0324  1 H 2.59
Ba: 0.3123 0.5324 0.4069  1 H 2.59
Ba: 0.0931 0.1877 0.4676  1 H 2.59
Ba: 0.5324 0.3123 0.9069  1 H 2.59
Ba: 0.2799 0.4054 0.8123  1 H 2.59
Ba: 0.6877 0.2201 0.5946  1 H 2.59
Ba: 0.4054 0.1255 0.5931  1 H 2.59
Ba: 0.6255 0.0324 0.2201  1 H 2.59
Ba: 0.8745 0.2799 0.4676  1 H 2.59
Ba: 0.5931 0.6255 0.4054  1 H 2.59
Ba: 0.1255 0.4054 0.0931  1 H 2.59
Ba: 0.4069 0.0324 0.3123  1 H 2.59
Ba: 0.3745 0.9676 0.7799  1 H 2.59
Ba: 0.9676 0.3745 0.2799  1 H 2.59
P: 0.1250 0.8750 0.7500  8 Ba 3.37-3.39
P: 0.3750 0.7500 0.6250  8 Ba 3.37-3.39
P: 0.6250 0.3750 0.7500  8 Ba 3.37-3.39
P: 0.7500 0.8750 0.6250  8 Ba 3.37-3.39
P: 0.7500 0.3750 0.1250  8 Ba 3.37-3.39
P: 0.3750 0.6250 0.2500  8 Ba 3.37-3.39
P: 0.1250 0.2500 0.8750  8 Ba 3.37-3.39
P: 0.2500 0.1250 0.3750  8 Ba 3.37-3.39
P: 0.8750 0.1250 0.2500  8 Ba 3.37-3.39
P: 0.6250 0.2500 0.3750  8 Ba 3.37-3.39
P: 0.2500 0.6250 0.8750  8 Ba 3.37-3.39
P: 0.8750 0.7500 0.1250  8 Ba 3.37-3.39

[9]
Below is Ba6PH8 after structural relaxation, with properties calculated at the PBE level.

Calculated values
* SG: R-3 (148)

Lattice parameters (Å, degrees): 7.6760 7.6760 8.5274 63.25 63.25 60.00
Last column: nearest neighbours and their distance in Å.
Positions (direct):
H: 0.7852 0.1288 0.6279  4 Ba 2.68-2.71
H: 0.6674 0.6674 0.9978  6 Ba 3.16-3.23
H: 0.5420 0.2148 0.3721  4 Ba 2.68-2.71
H: 0.1288 0.4580 0.6279  4 Ba 2.68-2.71
H: 0.2148 0.8712 0.3721  4 Ba 2.68-2.71
H: 0.3326 0.3326 0.0022  6 Ba 3.16-3.23
H: 0.8712 0.5420 0.3721  4 Ba 2.68-2.71
H: 0.4580 0.7852 0.6279  4 Ba 2.68-2.71
Ba: 0.7611 0.4158 0.7423  4 H 2.68-2.71
Ba: 0.9192 0.2389 0.2577  4 H 2.68-2.71
Ba: 0.5842 0.9192 0.2577  4 H 2.68-2.71
Ba: 0.2389 0.5842 0.2577  4 H 2.68-2.71
Ba: 0.0808 0.7611 0.7423  4 H 2.68-2.71
Ba: 0.4158 0.0808 0.7423  4 H 2.68-2.71
P: 0.0000 0.0000 0.0000  6 Ba 3.14

[10]
Below is Ba3PH after structural relaxation, with properties calculated at the PBE level.

Calculated values
* SG: Pm-3m (221)
* polymorph energy (0 for the lowest one): 22.4 kJ per mole of atoms

Lattice parameters (Å, degrees): 5.3244 5.3244 5.3244 90.00 90.00 90.00
Last column: nearest neighbours and their distance in Å.
Positions (direct):
P: 0.5000 0.5000 0.5000  12 Ba 3.76
Ba: 0.0000 0.5000 0.0000  2 H 2.66
Ba: 0.5000 0.0000 0.0000  2 H 2.66
Ba: 0.0000 0.0000 0.5000  2 H 2.66
H: 0.0000 0.0000 0.0000  6 Ba 2.66

| no. | DFT total energy (eV per atom) | spin magnetization (μB per formula unit) |
| --- | --- | --- |
| 1 | -3.44 | 0.025 |
| 2 | -4.30 | 0.000 |
| 3 | -4.03 | 0.000 |
| 4 | -3.73 | 0.000 |
| 5 | -4.20 | 0.000 |
| 6 | -3.74 | 0.000 |
| 7 | -3.25 | 0.000 |
| 8 | -3.25 | 8.378 |
| 9 | -3.45 | 1.018 |
| 10 | -3.21 | 1.563 |